The following is a DFT calculation (PBE) of LaGaTe3 after structural relaxation.

Cell: 5.4027 5.4027 5.4027 Å, 90.00 90.00 90.00°
With the nearest neighbours (Å) after each atom.
Space group Pm-3m (No. 221)
Inequivalent atoms, fractional coordinates:
1 La 0.0000 0.0000 0.0000 x1  12 Te 3.82
2 Ga 0.5000 0.5000 0.5000 x1  6 Te 2.70
3 Te 0.0000 0.5000 0.5000 x3  2 Ga 2.70

Results
Distance to the lowest polymorph of the same formula: 1.95 eV per formula unit
Spin magnetization: 0.00 μB/atom
ρ: 6.228 g/cm3
Electronic total energy: -19.88 eV per cell
E_form (uncorrected): -2.5 eV per formula unit